Entry from the Alexandria database: a relaxed PaMn2SbO8 crystal (GGA+U).

Calculated values
total DFT energy (no corrections): -0.2773 Ha/atom

CIF file:
```
data_PaMn2SbO8
_space_group_name_H-M_alt 'P 1'
_space_group_IT_number 1
_cell_length_a 5.895
_cell_length_b 5.895
_cell_length_c 5.895
_cell_angle_alpha 110.36
_cell_angle_beta 110.36
_cell_angle_gamma 107.71
loop_
_space_group_symop_operation_xyz
'x,y,z'
loop_
_atom_site_label
_atom_site_type_symbol
_atom_site_fract_x
_atom_site_fract_y
_atom_site_fract_z
Pa1 Pa 0.000 0.000 0.000
Mn1 Mn 0.500 0.500 0.000
Mn2 Mn 0.750 0.250 0.500
Sb1 Sb 0.250 0.750 0.500
O1 O 0.285 0.081 0.797
O2 O 0.285 0.488 0.203
O3 O 0.379 0.056 0.322
O4 O 0.512 0.715 0.797
O5 O 0.734 0.056 0.678
O6 O 0.919 0.715 0.203
O7 O 0.944 0.266 0.322
O8 O 0.944 0.621 0.678
```